! Cs2TiV3P3O18 | the Alexandria database | PBE+U | optimized geometry; values from VASP
&SYSTEM
  ibrav = 0, nat = 108, ntyp = 5
/
ATOMIC_SPECIES
Cs 132.91 Cs.upf
Ti 47.87 Ti.upf
V 50.94 V.upf
P 30.97 P.upf
O 16.00 O.upf
CELL_PARAMETERS angstrom
13.9141 0.0000 0.0000
-6.9570 12.0499 0.0000
0.0000 0.0000 9.6771
ATOMIC_POSITIONS angstrom
Cs 0.0000 0.0000 0.0000
Cs 0.0000 0.0000 4.8386
Cs -3.4785 6.0250 4.4109
Cs -3.4785 6.0250 9.2494
Cs 6.9570 0.0000 4.4109
Cs 6.9570 0.0000 9.2494
Cs 3.4785 6.0250 4.4109
Cs 3.4785 6.0250 9.2494
Ti 0.0000 8.0333 4.3497
Ti 0.0000 8.0333 9.1882
Ti 6.9570 4.0166 4.3497
Ti 6.9570 4.0166 9.1882
V -1.4562 3.1369 2.3952
V -4.9685 9.2204 7.2338
V 1.4562 3.1369 7.2338
V -3.5123 11.7426 2.3952
V 3.4448 0.3073 7.2338
V 1.9886 2.8296 2.3952
V 4.9685 9.2204 2.3952
V 3.5123 11.7426 7.2338
V 10.4693 0.3073 2.3952
V 5.5008 8.9130 7.2338
V 11.9255 2.8296 7.2338
V 8.4132 8.9130 2.3952
P -0.5191 5.7079 6.7690
P -2.2734 8.7465 1.9304
P 0.5191 5.7079 1.9304
P -1.7543 9.6455 6.7690
P 5.2027 2.4044 1.9304
P 4.6836 3.3035 6.7690
P 2.2734 8.7465 6.7690
P 1.7543 9.6455 1.9304
P 8.7114 2.4044 6.7690
P 6.4380 6.3421 1.9304
P 9.2305 3.3035 1.9304
P 7.4761 6.3421 6.7690
O -1.4914 3.1696 4.0160
O -4.9578 9.1735 8.8546
O -1.7316 4.7354 6.7654
O -3.7218 8.1826 1.9269
O -0.2325 2.5908 6.8048
O -4.8296 10.5532 1.9662
O 0.2325 2.5908 1.9662
O -4.5971 10.9559 6.8048
O -0.8441 4.9790 1.9098
O -3.0672 8.8294 6.7484
O 2.3600 1.0940 1.9662
O 2.1274 1.4968 6.8048
O -0.6555 6.5873 8.0421
O -0.6719 6.6004 5.5131
O -1.5768 8.1679 0.6745
O -1.5800 8.1886 3.2035
O 1.4914 3.1696 8.8546
O -3.4663 11.7567 4.0160
O 3.4907 0.2932 8.8546
O 1.9993 2.8764 4.0160
O 0.8441 4.9790 6.7484
O -2.2230 10.2915 1.9098
O 0.6555 6.5873 3.2035
O -0.9245 9.3240 8.0421
O 1.7316 4.7354 1.9269
O -1.9902 11.1818 6.7654
O 0.6719 6.6004 0.6745
O -0.9050 9.3316 5.5131
O 4.9668 0.8681 1.9269
O 3.2352 3.8673 6.7654
O 4.7340 1.7584 6.7484
O 3.8899 3.2205 1.9098
O 1.5768 8.1679 5.5131
O 0.9050 9.3316 0.6745
O 1.5800 8.1886 8.0421
O 0.9245 9.3240 3.2035
O 6.0325 2.7260 3.2035
O 5.3770 3.8613 8.0421
O 6.0521 2.7184 0.6745
O 5.3802 3.8821 5.5131
O 3.0672 8.8294 1.9098
O 2.2230 10.2915 6.7484
O 3.7218 8.1826 6.7654
O 1.9902 11.1818 1.9269
O 7.8620 2.7184 5.5131
O 6.2852 5.4495 0.6745
O 8.9473 0.8681 6.7654
O 5.2255 7.3145 1.9269
O 7.8816 2.7260 8.0421
O 6.3016 5.4626 3.2035
O 9.1801 1.7584 1.9098
O 6.1129 7.0710 6.7484
O 4.9578 9.1735 4.0160
O 3.4663 11.7567 8.8546
O 10.4234 0.2932 4.0160
O 5.4656 8.8803 8.8546
O 8.5370 3.8613 3.2035
O 8.5339 3.8821 0.6745
O 7.6289 5.4495 5.5131
O 7.6125 5.4626 8.0421
O 4.8296 10.5532 6.8048
O 4.5971 10.9559 1.9662
O 10.0242 3.2205 6.7484
O 7.8012 7.0710 1.9098
O 11.5541 1.0940 6.8048
O 6.7245 9.4591 1.9662
O 11.7866 1.4968 1.9662
O 7.1896 9.4591 6.8048
O 10.6789 3.8673 1.9269
O 8.6886 7.3145 6.7654
O 11.9148 2.8764 8.8546
O 8.4485 8.8803 4.0160
! DFT total energy = -7.316 eV per atom
! calculated density = 3.5 g/cm³